Record 1
Computed, not measured: an optimized crystal structure of SmDyAlGa at the PBE level of DFT.

```
4
Lattice="4.115 0.000 0.000 0.000 2.223 5.574 0.000 -2.223 5.574" Properties=species:S:1:pos:R:3 pbc="T T T"
Sm 0.000 0.000 0.000
Dy 2.057 0.000 3.134
Al 0.000 0.000 7.940
Ga 2.057 0.000 6.310
```

Output
- SG = No. 38
- distance to the lowest polymorph of the same formula (meV/atom) = 0.0
- electronic total energy (eV/cell) = -18.078
- energy of formation (eV per atom) = -0.497

Record 2
Computed, not measured: an optimized crystal structure of SmDyAlGa at the PBE level of DFT.

```
4
Lattice="0.000 3.628 3.628 3.628 0.000 3.628 3.628 3.628 0.000" Properties=species:S:1:pos:R:3 pbc="T T T"
Sm 0.000 0.000 0.000
Dy 3.628 3.628 3.628
Al 1.814 1.814 1.814
Ga 5.441 5.441 5.441
```

Output
- SG = No. 216
- distance to the lowest polymorph of the same formula (meV/atom) = 25.3
- electronic total energy (eV/cell) = -17.977
- energy of formation (eV per atom) = -0.472

Record 3
Computed, not measured: an optimized crystal structure of SrDyAl2Ga2 at the PBE level of DFT.

```
6
Lattice="4.417 0.000 0.000 -2.209 3.826 0.000 0.000 0.000 8.408" Properties=species:S:1:pos:R:3 pbc="T T T"
Sr 0.000 0.000 0.000
Dy 0.000 0.000 4.204
Al 0.000 2.550 2.356
Al 2.209 1.275 6.052
Ga 0.000 2.550 6.020
Ga 2.209 1.275 2.388
```

Output
- SG = No. 164
- electronic total energy (eV/cell) = -22.599
- energy of formation (eV per atom) = -0.463

Record 4
Computed, not measured: an optimized crystal structure of Tb2DyAl2Ga2 at the PBE level of DFT.

```
7
Lattice="2.130 1.230 10.757 -2.130 1.230 10.757 0.000 -2.460 10.757" Properties=species:S:1:pos:R:3 pbc="T T T"
Tb 0.000 0.000 4.032
Tb 0.000 0.000 28.240
Dy 0.000 0.000 0.000
Al 0.000 0.000 12.657
Al 0.000 0.000 19.614
Ga 0.000 0.000 8.486
Ga 0.000 0.000 23.785
```

Output
- SG = No. 166
- electronic total energy (eV/cell) = -30.152
- energy of formation (eV per atom) = -0.393

Record 5
Computed, not measured: an optimized crystal structure of TbDyAlGa at the PBE level of DFT.

```
4
Lattice="0.000 3.597 3.597 3.597 0.000 3.597 3.597 3.597 0.000" Properties=species:S:1:pos:R:3 pbc="T T T"
Tb 0.000 0.000 0.000
Dy 3.597 3.597 3.597
Al 1.798 1.798 1.798
Ga 5.395 5.395 5.395
```

Output
- SG = No. 216
- distance to the lowest polymorph of the same formula (meV/atom) = 27.3
- electronic total energy (eV/cell) = -17.928
- energy of formation (eV per atom) = -0.481

Record 6
Computed, not measured: an optimized crystal structure of TbDyAlGa at the PBE level of DFT.

```
4
Lattice="4.074 0.000 0.000 0.000 2.208 5.525 0.000 -2.208 5.525" Properties=species:S:1:pos:R:3 pbc="T T T"
Tb 0.000 0.000 0.000
Dy 2.037 0.000 7.948
Al 0.000 0.000 3.188
Ga 2.037 0.000 4.833
```

Output
- SG = No. 38
- distance to the lowest polymorph of the same formula (meV/atom) = 0.0
- electronic total energy (eV/cell) = -18.037
- energy of formation (eV per atom) = -0.509